Cs2KTaCl6, optimized geometry, DFT PBE; volume = 334.0 Å³ per cell; energy relative to the elements, uncorrected = -1.620 eV per atom
1.0
0.0000 5.5069 5.5069
5.5069 0.0000 5.5069
5.5069 5.5069 0.0000
Cs K Ta Cl
2 1 1 6
Direct
0.2500 0.2500 0.2500 Cs
0.7500 0.7500 0.7500 Cs
0.0000 0.0000 0.0000 K
0.5000 0.5000 0.5000 Ta
0.2744 0.2744 0.7256 Cl
0.2744 0.7256 0.2744 Cl
0.2744 0.7256 0.7256 Cl
0.7256 0.2744 0.2744 Cl
0.7256 0.2744 0.7256 Cl
0.7256 0.7256 0.2744 Cl